A | Entry from Alexandria: a geometry-optimized KBaAgS2 structure (GGA-PBE).

a = 4.934 Å, b = 8.935 Å, c = 8.985 Å
α = 119.82°, β = 90.00°, γ = 90.00°
Fractional coordinates of all 10 atoms:
S: 0.253 0.372 0.743
S: 0.747 0.628 0.257
S: 0.747 0.872 0.743
S: 0.253 0.128 0.257
K: 0.500 0.250 0.000
K: 0.500 0.750 0.000
Ba: 0.757 0.250 0.500
Ba: 0.243 0.750 0.500
Ag: 0.000 0.000 0.000
Ag: 0.000 0.500 0.000

Properties
As for the symmetry: Cmme, No. 67.

B | Entry from Alexandria: a geometry-optimized KBaAgS2 structure (GGA-PBE).

a = 5.873 Å, b = 7.436 Å, c = 5.873 Å
α = 90.00°, β = 90.00°, γ = 90.00°
Each line ends with the local moment (μB).
Fractional coordinates of all 5 atoms:
S: 0.000 0.000 0.500  0.48
S: 0.500 0.000 0.000  0.35
K: 0.000 0.500 0.000  0.01
Ba: 0.000 0.000 0.000  0.00
Ag: 0.500 0.500 0.500  0.17

Properties
As for the symmetry: P4/mmm, No. 123.

A wins, 1.167 eV/atom ahead of the next structure.

A | Entry from Alexandria: a geometry-optimized KBaAg2Sn structure (GGA-PBE).

a = 5.403 Å, b = 6.167 Å, c = 5.403 Å
α = 90.00°, β = 90.00°, γ = 90.00°
Fractional coordinates of all 5 atoms:
K: 0.000 0.500 0.000
Ag: 0.500 0.000 0.000
Ag: 0.000 0.000 0.500
Sn: 0.000 0.000 0.000
Ba: 0.500 0.500 0.500

Properties
As for the symmetry: P4/mmm, No. 123.

B | Entry from Alexandria: a geometry-optimized KBaAg2Sn structure (GGA-PBE).

a = 5.490 Å, b = 6.364 Å, c = 5.490 Å
α = 90.00°, β = 90.00°, γ = 90.00°
Fractional coordinates of all 5 atoms:
Sn: 0.500 0.500 0.500
Ba: 0.000 0.500 0.000
K: 0.000 0.000 0.000
Ag: 0.000 0.000 0.500
Ag: 0.500 0.000 0.000

Properties
As for the symmetry: P4/mmm, No. 123.

A wins, 0.582 eV/atom ahead of the next structure.

A | Entry from Alexandria: a geometry-optimized Ba2LaAg structure (GGA-PBE).

a = 4.051 Å, b = 4.051 Å, c = 10.426 Å
α = 90.00°, β = 90.00°, γ = 90.00°
Each line ends with the local moment (μB).
Fractional coordinates of all 4 atoms:
Ag: 0.500 0.500 0.720  0.01
Ba: 0.000 0.000 0.929  0.00
Ba: 0.500 0.500 0.280  0.07
La: 0.000 0.000 0.571  0.12

Properties
As for the symmetry: P4mm, No. 99.

B | Entry from Alexandria: a geometry-optimized Ba2LaAg structure (GGA-PBE).

a = 4.438 Å, b = 5.992 Å, c = 5.916 Å
α = 90.00°, β = 90.00°, γ = 90.00°
Fractional coordinates of all 4 atoms:
La: 0.500 0.000 0.500
Ba: 0.500 0.500 0.000
Ba: 0.000 0.000 0.000
Ag: 0.000 0.500 0.500

Properties
As for the symmetry: Pmmm, No. 47.

A wins, 0.222 eV/atom ahead of the next structure.